Entry 1:
A geometry-optimized MgAl6 structure. Source: Alexandria via LeMat-Bulk, functional GGA-PBE.

```
MgAl6
1.0
5.623 0.000 0.000
0.000 5.623 0.000
0.000 0.000 8.387
Mg Al
2 12
direct
0.250 0.750 0.000
0.750 0.250 0.000
0.077 0.577 0.360
0.077 0.923 0.640
0.250 0.250 0.153
0.250 0.250 0.847
0.423 0.577 0.640
0.423 0.923 0.360
0.577 0.077 0.640
0.577 0.423 0.360
0.750 0.750 0.153
0.750 0.750 0.847
0.923 0.077 0.360
0.923 0.423 0.640
```

Values from the calculation:
- Formation energy: 0.088 eV per atom
- Total DFT energy (no corrections): -3.348 eV/atom
- Magnetization: 0.00 μB/f.u.
- SG: No. 125
- Density of states at the Fermi level: 0.34 states/eV per atom



Entry 2:
A geometry-optimized Mg6Al7 structure. Source: Alexandria via LeMat-Bulk, functional GGA-PBE.

```
Mg6Al7
1.0
2.708 1.564 10.009
-2.708 1.564 10.009
0.000 -3.127 10.009
Mg Al
6 7
direct
0.048 0.048 0.048
0.152 0.152 0.152
0.335 0.335 0.335
0.665 0.665 0.665
0.848 0.848 0.848
0.952 0.952 0.952
0.089 0.591 0.591
0.409 0.409 0.911
0.409 0.911 0.409
0.500 0.500 0.500
0.591 0.089 0.591
0.591 0.591 0.089
0.911 0.409 0.409
```

Values from the calculation:
- Formation energy: -0.031 eV per atom
- Total DFT energy (no corrections): -2.782 eV/atom
- Magnetization: 0.00 μB/f.u.
- SG: No. 166
- Density of states at the Fermi level: 0.21 states/eV per atom



Entry 3:
A geometry-optimized MgAl2 structure. Source: Alexandria via LeMat-Bulk, functional GGA-PBE.

```
MgAl2
1.0
-1.450 1.450 6.519
1.450 -1.450 6.519
1.450 1.450 -6.519
Mg Al
1 2
direct
0.000 0.000 0.000
0.330 0.330 0.000
0.670 0.670 0.000
```

Values from the calculation:
- Formation energy: 0.022 eV per atom
- Total DFT energy (no corrections): -3.004 eV/atom
- Magnetization: 0.00 μB/f.u.
- SG: No. 139
- Density of states at the Fermi level: 0.45 states/eV per atom



Entry 4:
A geometry-optimized Mg2MnAl structure. Source: Alexandria via LeMat-Bulk, functional GGA-PBE.

```
Mg2MnAl
1.0
2.978 0.000 0.000
0.000 2.978 0.000
0.000 0.000 8.101
Mg Mn Al
2 1 1
direct
0.000 0.000 0.237
0.000 0.000 0.763
0.500 0.500 0.000
0.500 0.500 0.500
```

Values from the calculation:
- Formation energy: 0.139 eV per atom
- Total DFT energy (no corrections): -3.887 eV/atom
- Magnetization: 3.39 μB/f.u.
- SG: No. 123
- Density of states at the Fermi level: 0.65 states/eV per atom



Entry 5:
A geometry-optimized Mg4MnAl structure. Source: Alexandria via LeMat-Bulk, functional GGA-PBE.

```
Mg4MnAl
1.0
0.000 3.997 3.997
3.997 0.000 3.997
3.997 3.997 0.000
Mg Mn Al
4 1 1
direct
0.125 0.125 0.125
0.125 0.125 0.626
0.125 0.626 0.125
0.626 0.125 0.125
0.750 0.750 0.750
0.500 0.500 0.500
```

Values from the calculation:
- Formation energy: 0.366 eV per atom
- Total DFT energy (no corrections): -2.849 eV/atom
- Magnetization: 4.05 μB/f.u.
- SG: No. 216
- Density of states at the Fermi level: 0.57 states/eV per atom



Entry 6:
A geometry-optimized MgMn2Al2 structure. Source: Alexandria via LeMat-Bulk, functional GGA-PBE.

```
MgMn2Al2
1.0
7.270 0.000 0.000
0.000 7.270 0.000
0.000 0.000 2.876
Mg Mn Al
2 4 4
direct
0.000 0.000 0.000
0.500 0.500 0.000
0.167 0.333 0.500
0.333 0.833 0.500
0.667 0.167 0.500
0.833 0.667 0.500
0.129 0.629 0.000
0.371 0.129 0.000
0.629 0.871 0.000
0.871 0.371 0.000
```

Values from the calculation:
- Formation energy: -0.082 eV per atom
- Total DFT energy (no corrections): -5.566 eV/atom
- Magnetization: 5.35 μB/f.u.
- SG: No. 127
- Density of states at the Fermi level: 0.67 states/eV per atom



Entry 7:
A geometry-optimized MgMn2Al structure. Source: Alexandria via LeMat-Bulk, functional GGA-PBE.

```
MgMn2Al
1.0
2.879 -3.538 0.000
2.879 3.538 0.000
0.000 0.000 2.868
Mg Mn Al
1 2 1
direct
0.000 0.000 0.000
0.000 0.500 0.500
0.500 0.000 0.500
0.500 0.500 0.000
```

Values from the calculation:
- Formation energy: 0.059 eV per atom
- Total DFT energy (no corrections): -5.860 eV/atom
- Magnetization: 5.52 μB/f.u.
- SG: No. 65
- Density of states at the Fermi level: 0.71 states/eV per atom



Entry 8:
A geometry-optimized MgMn2Al structure. Source: Alexandria via LeMat-Bulk, functional GGA-PBE.

```
MgMn2Al
1.0
-3.505 3.505 2.731
3.505 -3.505 2.731
3.505 3.505 -2.731
Mg Mn Al
2 4 2
direct
0.000 0.000 0.000
0.750 0.250 0.500
0.141 0.125 0.516
0.375 0.859 0.984
0.609 0.625 0.484
0.875 0.391 0.016
0.250 0.750 0.500
0.500 0.500 0.000
```

Values from the calculation:
- Formation energy: 0.507 eV per atom
- Total DFT energy (no corrections): -5.413 eV/atom
- Magnetization: 6.16 μB/f.u.
- SG: No. 122
- Density of states at the Fermi level: 0.97 states/eV per atom



Entry 9:
A geometry-optimized Mg6MnAl structure. Source: Alexandria via LeMat-Bulk, functional GGA-PBE.

```
Mg6MnAl
1.0
4.978 0.000 0.000
0.000 3.038 5.348
0.000 -3.038 5.348
Mg Mn Al
6 1 1
direct
0.000 0.000 0.000
0.000 0.010 0.501
0.000 0.498 0.498
0.000 0.501 0.010
0.500 0.339 0.838
0.500 0.838 0.339
0.500 0.339 0.339
0.500 0.839 0.839
```

Values from the calculation:
- Formation energy: 0.085 eV per atom
- Total DFT energy (no corrections): -2.724 eV/atom
- Magnetization: 3.23 μB/f.u.
- SG: No. 38
- Density of states at the Fermi level: 0.44 states/eV per atom



Entry 10:
A geometry-optimized MgMn2Al structure. Source: Alexandria via LeMat-Bulk, functional GGA-PBE.

```
MgMn2Al
1.0
2.844 0.000 0.000
0.000 3.569 0.000
0.000 0.000 5.823
Mg Mn Al
1 2 1
direct
0.000 0.000 0.000
0.500 0.500 0.272
0.500 0.500 0.728
0.000 0.000 0.500
```

Values from the calculation:
- Formation energy: 0.039 eV per atom
- Total DFT energy (no corrections): -5.880 eV/atom
- Magnetization: 5.48 μB/f.u.
- SG: No. 47
- Density of states at the Fermi level: 0.67 states/eV per atom



Entry 11:
A geometry-optimized MgMn2Al structure. Source: Alexandria via LeMat-Bulk, functional GGA-PBE.

```
MgMn2Al
1.0
4.080 0.000 0.000
0.000 4.080 0.000
0.000 0.000 3.539
Mg Mn Al
1 2 1
direct
0.000 0.000 0.000
0.000 0.500 0.500
0.500 0.000 0.500
0.500 0.500 0.000
```

Values from the calculation:
- Formation energy: 0.047 eV per atom
- Total DFT energy (no corrections): -5.872 eV/atom
- Magnetization: 5.71 μB/f.u.
- SG: No. 123
- Density of states at the Fermi level: 0.67 states/eV per atom



Entry 12:
A geometry-optimized Mg2MnAl structure. Source: Alexandria via LeMat-Bulk, functional GGA-PBE.

```
Mg2MnAl
1.0
-1.999 1.999 4.422
1.999 -1.999 4.422
1.999 1.999 -4.422
Mg Mn Al
2 1 1
direct
0.250 0.750 0.500
0.750 0.250 0.500
0.000 0.000 0.000
0.500 0.500 0.000
```

Values from the calculation:
- Formation energy: 0.124 eV per atom
- Total DFT energy (no corrections): -3.901 eV/atom
- Magnetization: 3.05 μB/f.u.
- SG: No. 139
- Density of states at the Fermi level: 0.84 states/eV per atom